No. 1
First-principles (GGA-PBE) data for a relaxed Pu3Tc2Ge2 crystal, as listed in the Alexandria database.

Computed properties:
- E_form (eV/f.u.) = -1.65
- raw total energy (Ha/atom) = -0.3917
- total magnetic moment (μB/f.u.) = 4.698
- ρ (g/cm3) = 12.4

a = 5.5038 Å, b = 7.8070 Å, c = 13.3610 Å
α = 90.00°, β = 90.00°, γ = 90.00°
With the nearest neighbours (Å) after each atom.
Space group Pbcm (No. 57)
Unique sites:
Pu 0.1129 0.2354 0.2500 x4  4 Tc 2.92-3.01, 3 Ge 2.97-3.14
Pu 0.3431 0.5966 0.0941 x8  3 Tc 2.78-3.09, 2 Ge 3.04-3.07
Tc 0.1261 0.5337 0.5983 x8  3 Ge 2.58-2.65, 2 Pu 2.78-2.88
Ge 0.1571 0.2500 0.0000 x4  4 Tc 2.58-2.65
Ge 0.3913 0.6160 0.7500 x4  2 Tc 2.58

=====

No. 2
First-principles (GGA-PBE) data for a relaxed Pu3Tc5Ge2 crystal, as listed in the Alexandria database.

Computed properties:
- E_form (eV/f.u.) = -0.49
- raw total energy (Ha/atom) = -0.3842
- total magnetic moment (μB/f.u.) = 15.649
- ρ (g/cm3) = 11.6

a = 11.2385 Å, b = 12.0369 Å, c = 5.7771 Å
α = 90.00°, β = 90.00°, γ = 90.00°
With the nearest neighbours (Å) after each atom.
Space group Ibam (No. 72)
Unique sites:
Pu 0.0000 0.0000 0.2500 x4  2 Tc 2.57
Pu 0.2212 0.3771 0.0000 x8  4 Ge 3.01-3.25, 4 Tc 3.19-3.23
Tc 0.0000 0.2131 0.2500 x8  2 Tc 2.55, 1 Pu 2.57, 2 Ge 2.66
Tc 0.0000 0.5000 0.2500 x4  4 Tc 2.50
Tc 0.1014 0.3593 0.5000 x8  1 Ge 2.48, 4 Tc 2.50-2.55
Ge 0.1781 0.1300 0.0000 x8  3 Tc 2.48-2.66

=====

No. 3
First-principles (GGA-PBE) data for a relaxed Pu3TcGe4 crystal, as listed in the Alexandria database.

Computed properties:
- E_form (eV/f.u.) = -2.03
- raw total energy (Ha/atom) = -0.3393
- total magnetic moment (μB/f.u.) = 15.000
- ρ (g/cm3) = 11.9

a = 8.4099 Å, b = 6.1034 Å, c = 6.1080 Å
α = 90.00°, β = 90.00°, γ = 90.00°
With the nearest neighbours (Å) after each atom.
Space group Pmn2_1 (No. 31)
Unique sites:
Pu 0.0000 0.0373 0.0000 x2  1 Tc 2.88, 6 Ge 2.95-3.20, 4 Pu 3.05-3.06
Pu 0.2451 0.2561 0.7051 x4  8 Ge 2.93-3.19, 2 Tc 2.99-3.00, 2 Pu 3.05-3.06
Tc 0.0000 0.5074 0.9566 x2  3 Ge 2.75-2.79, 5 Pu 2.88-3.00
Ge 0.0000 0.4653 0.4114 x2  1 Tc 2.79, 5 Ge 2.95-3.05, 4 Pu 3.01-3.02
Ge 0.0000 0.9778 0.4796 x2  3 Ge 2.73-3.00, 3 Pu 2.95-3.01
Ge 0.2163 0.7345 0.7079 x4  3 Ge 2.73-3.05, 1 Tc 2.75, 3 Pu 2.93-3.06

=====

No. 4
First-principles (GGA-PBE) data for a relaxed Pu2Tc2Ge crystal, as listed in the Alexandria database.

Computed properties:
- E_form (eV/f.u.) = -0.61
- raw total energy (Ha/atom) = -0.4014
- total magnetic moment (μB/f.u.) = 8.645
- ρ (g/cm3) = 12.7

a = 10.0321 Å, b = 5.2564 Å, c = 8.0184 Å
α = 90.00°, β = 110.29°, γ = 90.00°
With the nearest neighbours (Å) after each atom.
Space group C2/c (No. 15)
Unique sites:
Pu 0.1471 0.1446 0.1432 x8  4 Tc 2.69-2.90
Tc 0.1365 0.3420 0.5340 x8  2 Ge 2.56-2.66, 3 Pu 2.69-2.83, 1 Tc 2.70
Ge 0.0000 0.3780 0.7500 x4  4 Tc 2.56-2.66